Entry 1:
The following is a PBE calculation of an optimized crystal structure of TiIn5Pd6, from Alexandria via LeMat-Bulk.

Summary:
SG: No. 10
E_tot in eV/atom: -4.910
Total moment in μB per formula unit: 0.0
Formation energy in meV/atom: -515
Density of states at the Fermi level in states/eV/cell: 4.6

a b c (Å): 4.6151 6.6086 7.3312
angles (deg): 90.00 70.91 90.00
Closest atoms and distances in Å follow each position.
Positions (direct):
In1 0.0000 0.5000 0.0000  8 Pd 2.80-2.90
In2 0.3367 0.5000 0.3313  8 Pd 2.86-2.95
In3 0.6633 0.0000 0.6662  8 Pd 2.78-2.88
In4 0.6633 0.5000 0.6687  8 Pd 2.86-2.95
In5 0.3367 0.0000 0.3338  8 Pd 2.78-2.88
Pd1 0.1561 0.7566 0.6789  1 Ti 2.75, 7 In 2.80-2.95
Pd2 0.5000 0.7667 0.0000  2 Ti 2.78, 6 In 2.78-2.90, 1 Pd 3.08
Pd3 0.1560 0.2434 0.6789  1 Ti 2.75, 7 In 2.80-2.95
Pd4 0.8439 0.2434 0.3211  1 Ti 2.75, 7 In 2.80-2.95
Pd5 0.5000 0.2333 0.0000  2 Ti 2.78, 6 In 2.78-2.90, 1 Pd 3.08
Pd6 0.8440 0.7566 0.3211  1 Ti 2.75, 7 In 2.80-2.95
Ti1 0.0000 0.0000 0.0000  8 Pd 2.75-2.78

=====

Entry 2:
The following is a PBE calculation of an optimized crystal structure of Ti3In2Pd, from Alexandria via LeMat-Bulk.

Summary:
SG: No. 123
E_tot in eV/atom: -5.991
Total moment in μB per formula unit: 0.0
Formation energy in meV/atom: -265
Density of states at the Fermi level in states/eV/cell: 7.1

a b c (Å): 2.9468 2.9468 12.4022
angles (deg): 90.00 90.00 90.00
Closest atoms and distances in Å follow each position.
Positions (direct):
In1 0.5000 0.5000 0.8245  4 In 2.95, 8 Ti 3.01-3.02
In2 0.5000 0.5000 0.1755  4 In 2.95, 8 Ti 3.01-3.02
Pd1 0.5000 0.5000 0.5000  8 Ti 2.78, 4 Pd 2.95
Ti1 0.0000 0.0000 0.6483  4 Pd 2.78, 4 Ti 2.95, 4 In 3.02
Ti2 0.0000 0.0000 0.0000  4 Ti 2.95, 8 In 3.01
Ti3 0.0000 0.0000 0.3517  4 Pd 2.78, 4 Ti 2.95, 4 In 3.02

=====

Entry 3:
The following is a PBE calculation of an optimized crystal structure of Ti12In6Pd, from Alexandria via LeMat-Bulk.

Summary:
SG: No. 148
E_tot in eV/atom: -6.169
Total moment in μB per formula unit: 0.1
Formation energy in meV/atom: -45
Density of states at the Fermi level in states/eV/cell: 25.4

a b c (Å): 7.0731 7.0731 7.0731
angles (deg): 90.71 90.71 90.71
Closest atoms and distances in Å follow each position.
Positions (direct):
In1 0.2543 0.7231 0.8782  8 Ti 2.81-3.06, 1 Pd 2.81, 2 In 2.99
In2 0.7231 0.8782 0.2543  8 Ti 2.81-3.06, 1 Pd 2.81, 2 In 2.99
In3 0.2769 0.1218 0.7457  8 Ti 2.81-3.06, 1 Pd 2.81, 2 In 2.99
In4 0.8782 0.2543 0.7231  8 Ti 2.81-3.06, 1 Pd 2.81, 2 In 2.99
In5 0.7457 0.2769 0.1218  8 Ti 2.81-3.06, 1 Pd 2.81, 2 In 2.99
In6 0.1218 0.7457 0.2769  8 Ti 2.81-3.06, 1 Pd 2.81, 2 In 2.99
Ti1 0.3787 0.0693 0.1479  4 Ti 2.73-2.89, 3 In 2.90-2.97, 1 Pd 2.90
Ti2 0.6213 0.9307 0.8521  4 Ti 2.73-2.89, 3 In 2.90-2.97, 1 Pd 2.90
Ti3 0.7944 0.5285 0.4523  4 Ti 2.73-3.01, 4 In 2.81-3.05
Ti4 0.9307 0.8521 0.6213  4 Ti 2.73-2.89, 3 In 2.90-2.97, 1 Pd 2.90
Ti5 0.4523 0.7944 0.5285  4 Ti 2.73-3.01, 4 In 2.81-3.05
Ti6 0.8521 0.6213 0.9307  4 Ti 2.73-2.89, 3 In 2.90-2.97, 1 Pd 2.90
Ti7 0.1479 0.3787 0.0693  4 Ti 2.73-2.89, 3 In 2.90-2.97, 1 Pd 2.90
Ti8 0.5285 0.4523 0.7944  4 Ti 2.73-3.01, 4 In 2.81-3.05
Ti9 0.5477 0.2056 0.4715  4 Ti 2.73-3.01, 4 In 2.81-3.05
Ti10 0.2056 0.4715 0.5477  4 Ti 2.73-3.01, 4 In 2.81-3.05
Ti11 0.0693 0.1479 0.3787  4 Ti 2.73-2.89, 3 In 2.90-2.97, 1 Pd 2.90
Ti12 0.4715 0.5477 0.2056  4 Ti 2.73-3.01, 4 In 2.81-3.05
Pd1 0.0000 0.0000 0.0000  6 In 2.81, 6 Ti 2.90

=====

Entry 4:
The following is a PBE calculation of an optimized crystal structure of TiIn2Pd, from Alexandria via LeMat-Bulk.

Summary:
SG: No. 123
E_tot in eV/atom: -4.962
Total moment in μB per formula unit: 0.0
Formation energy in meV/atom: -321
Density of states at the Fermi level in states/eV/cell: 2.3

a b c (Å): 3.1398 3.1398 7.5504
angles (deg): 90.00 90.00 90.00
Closest atoms and distances in Å follow each position.
Positions (direct):
Ti1 0.5000 0.5000 0.5000  8 In 2.98, 4 Ti 3.14
In1 0.0000 0.0000 0.2365  4 Pd 2.85, 4 Ti 2.98, 4 In 3.14
In2 0.0000 0.0000 0.7635  4 Pd 2.85, 4 Ti 2.98, 4 In 3.14
Pd1 0.5000 0.5000 0.0000  8 In 2.85, 4 Pd 3.14

=====

Entry 5:
The following is a PBE calculation of an optimized crystal structure of Ti3In2Pd2, from Alexandria via LeMat-Bulk.

Summary:
SG: No. 12
E_tot in eV/atom: -5.987
Total moment in μB per formula unit: 1.9
Formation energy in meV/atom: -338
Density of states at the Fermi level in states/eV/cell: 4.3

a b c (Å): 4.6426 4.6426 7.1315
angles (deg): 89.86 109.13 120.03
Closest atoms and distances in Å follow each position.
Positions (direct):
Pd1 0.5547 0.2761 0.8307  4 Ti 2.64-2.91, 4 In 2.75-2.86
Pd2 0.4453 0.7239 0.1693  4 Ti 2.64-2.91, 4 In 2.75-2.86
In1 0.1584 0.5783 0.7366  4 Pd 2.75-2.86, 3 Ti 2.90
In2 0.8416 0.4217 0.2634  4 Pd 2.75-2.86, 3 Ti 2.90
Ti1 0.7127 0.8562 0.5688  1 Pd 2.64, 4 Ti 2.83-2.85, 3 In 2.90
Ti2 0.0000 0.0000 0.0000  2 Ti 2.85, 6 Pd 2.90-2.91
Ti3 0.2873 0.1438 0.4312  1 Pd 2.64, 4 Ti 2.83-2.85, 3 In 2.90

=====

Entry 6:
The following is a PBE calculation of an optimized crystal structure of TiIn2Pd, from Alexandria via LeMat-Bulk.

Summary:
SG: No. 225
E_tot in eV/atom: -4.840
Total moment in μB per formula unit: 0.0
Formation energy in meV/atom: -199
Density of states at the Fermi level in states/eV/cell: 3.7

a b c (Å): 4.7334 4.7334 4.7334
angles (deg): 60.00 60.00 60.00
Closest atoms and distances in Å follow each position.
Positions (direct):
In1 0.7500 0.7500 0.7500  4 Ti 2.90, 4 Pd 2.90
In2 0.2500 0.2500 0.2500  4 Pd 2.90, 4 Ti 2.90
Pd1 0.5000 0.5000 0.5000  8 In 2.90
Ti1 0.0000 0.0000 0.0000  8 In 2.90

=====

Entry 7:
The following is a PBE calculation of an optimized crystal structure of ZrTi2InPd, from Alexandria via LeMat-Bulk.

Summary:
SG: No. 123
E_tot in eV/atom: -5.240
Total moment in μB per formula unit: 3.9
Formation energy in meV/atom: 1214
Density of states at the Fermi level in states/eV/cell: 7.7

a b c (Å): 4.9722 5.2932 4.9722
angles (deg): 90.00 90.00 90.00
Closest atoms and distances in Å follow each position.
Positions (direct):
In1 0.0000 0.0000 0.0000  4 Ti 2.49, 2 Zr 2.65
Ti1 0.0000 0.0000 0.5000  2 In 2.49
Ti2 0.5000 0.0000 0.0000  2 In 2.49
Zr1 0.0000 0.5000 0.0000  2 In 2.65
Pd1 0.5000 0.5000 0.5000  4 Zr 3.52, 8 Ti 3.63

=====

Entry 8:
The following is a PBE calculation of an optimized crystal structure of ZrTi2InPd, from Alexandria via LeMat-Bulk.

Summary:
SG: No. 123
E_tot in eV/atom: -6.008
Total moment in μB per formula unit: 3.2
Formation energy in meV/atom: 446
Density of states at the Fermi level in states/eV/cell: 6.0

a b c (Å): 4.8125 4.9744 4.8125
angles (deg): 90.00 90.00 90.00
Closest atoms and distances in Å follow each position.
Positions (direct):
Ti1 0.0000 0.0000 0.5000  2 Pd 2.41
Ti2 0.5000 0.0000 0.0000  2 Pd 2.41
Pd1 0.0000 0.0000 0.0000  4 Ti 2.41, 2 In 2.49
Zr1 0.5000 0.5000 0.5000  4 In 3.40, 8 Ti 3.46
In1 0.0000 0.5000 0.0000  2 Pd 2.49

=====

Entry 9:
The following is a PBE calculation of an optimized crystal structure of ZrTi2InPd, from Alexandria via LeMat-Bulk.

Summary:
SG: No. 123
E_tot in eV/atom: -5.497
Total moment in μB per formula unit: 4.5
Formation energy in meV/atom: 957
Density of states at the Fermi level in states/eV/cell: 7.8

a b c (Å): 5.0229 4.8375 5.0229
angles (deg): 90.00 90.00 90.00
Closest atoms and distances in Å follow each position.
Positions (direct):
In1 0.0000 0.0000 0.0000  2 Pd 2.42, 4 Ti 2.51
Zr1 0.5000 0.5000 0.5000  8 Ti 3.49, 4 Pd 3.55
Ti1 0.0000 0.0000 0.5000  2 In 2.51
Ti2 0.5000 0.0000 0.0000  2 In 2.51
Pd1 0.0000 0.5000 0.0000  2 In 2.42

=====

Entry 10:
The following is a PBE calculation of an optimized crystal structure of Tl6InPd12, from Alexandria via LeMat-Bulk.

Summary:
SG: No. 148
E_tot in eV/atom: -4.327
Total moment in μB per formula unit: 0.0
Formation energy in meV/atom: -155
Density of states at the Fermi level in states/eV/cell: 8.4

a b c (Å): 7.5509 7.5509 7.5509
angles (deg): 106.39 106.39 106.39
Closest atoms and distances in Å follow each position.
Positions (direct):
Tl1 0.4802 0.2145 0.0972  9 Pd 2.75-2.99
Tl2 0.5198 0.7855 0.9028  9 Pd 2.75-2.99
Tl3 0.9028 0.5198 0.7855  9 Pd 2.75-2.99
Tl4 0.7855 0.9028 0.5198  9 Pd 2.75-2.99
Tl5 0.0972 0.4802 0.2145  9 Pd 2.75-2.99
Tl6 0.2145 0.0972 0.4802  9 Pd 2.75-2.99
Pd1 0.4019 0.8213 0.5221  4 Tl 2.75-2.87, 6 Pd 2.80-2.97
Pd2 0.8671 0.7345 0.1568  1 In 2.70, 5 Pd 2.80-2.96, 5 Tl 2.94-2.99
Pd3 0.5981 0.1787 0.4779  4 Tl 2.75-2.87, 6 Pd 2.80-2.97
Pd4 0.8432 0.1329 0.2655  1 In 2.70, 5 Pd 2.80-2.96, 5 Tl 2.94-2.99
Pd5 0.8213 0.5221 0.4019  4 Tl 2.75-2.87, 6 Pd 2.80-2.97
Pd6 0.1329 0.2655 0.8432  1 In 2.70, 5 Pd 2.80-2.96, 5 Tl 2.94-2.99
Pd7 0.1787 0.4779 0.5981  4 Tl 2.75-2.87, 6 Pd 2.80-2.97
Pd8 0.7345 0.1568 0.8671  1 In 2.70, 5 Pd 2.80-2.96, 5 Tl 2.94-2.99
Pd9 0.4779 0.5981 0.1787  4 Tl 2.75-2.87, 6 Pd 2.80-2.97
Pd10 0.1568 0.8671 0.7345  1 In 2.70, 5 Pd 2.80-2.96, 5 Tl 2.94-2.99
Pd11 0.5221 0.4019 0.8213  4 Tl 2.75-2.87, 6 Pd 2.80-2.97
Pd12 0.2655 0.8432 0.1329  1 In 2.70, 5 Pd 2.80-2.96, 5 Tl 2.94-2.99
In1 0.0000 0.0000 0.0000  6 Pd 2.70

=====

Entry 11:
The following is a PBE calculation of an optimized crystal structure of TlInPd5, from Alexandria via LeMat-Bulk.

Summary:
SG: No. 123
E_tot in eV/atom: -4.695
Total moment in μB per formula unit: 0.0
Formation energy in meV/atom: -257
Density of states at the Fermi level in states/eV/cell: 5.6

a b c (Å): 4.0115 4.0115 7.9902
angles (deg): 90.00 90.00 90.00
Closest atoms and distances in Å follow each position.
Positions (direct):
Tl1 0.5000 0.5000 0.0000  8 Pd 2.82
Pd1 0.0000 0.5000 0.7524  2 Tl 2.82, 6 Pd 2.84, 2 In 2.84
Pd2 0.5000 0.0000 0.7524  2 Tl 2.82, 6 Pd 2.84, 2 In 2.84
Pd3 0.5000 0.5000 0.5000  4 In 2.84, 8 Pd 2.84
Pd4 0.5000 0.0000 0.2476  2 Tl 2.82, 6 Pd 2.84, 2 In 2.84
Pd5 0.0000 0.5000 0.2476  2 Tl 2.82, 6 Pd 2.84, 2 In 2.84
In1 0.0000 0.0000 0.5000  12 Pd 2.84

=====

Entry 12:
The following is a PBE calculation of an optimized crystal structure of TlInPd4, from Alexandria via LeMat-Bulk.

Summary:
SG: No. 12
E_tot in eV/atom: -4.608
Total moment in μB per formula unit: 0.0
Formation energy in meV/atom: -296
Density of states at the Fermi level in states/eV/cell: 3.7

a b c (Å): 4.9774 8.6723 4.9712
angles (deg): 90.00 104.09 90.00
Closest atoms and distances in Å follow each position.
Positions (direct):
Pd1 0.5003 0.8331 0.0002  2 Tl 2.88, 7 Pd 2.88-3.06, 3 In 2.88-2.89
Pd2 0.4997 0.1669 0.9998  2 Tl 2.88, 7 Pd 2.88-3.06, 3 In 2.88-2.89
Pd3 0.0003 0.6669 0.0002  2 Tl 2.88, 7 Pd 2.88-3.06, 3 In 2.88-2.89
Pd4 0.5002 0.6647 0.5002  7 Pd 2.86-3.06, 2 In 2.87, 3 Tl 2.87-2.91
Pd5 0.9998 0.1647 0.4998  7 Pd 2.86-3.06, 2 In 2.87, 3 Tl 2.87-2.91
Pd6 0.4998 0.3353 0.4998  7 Pd 2.86-3.06, 2 In 2.87, 3 Tl 2.87-2.91
Pd7 0.0002 0.8353 0.5002  7 Pd 2.86-3.06, 2 In 2.87, 3 Tl 2.87-2.91
Pd8 0.9997 0.3331 0.9998  2 Tl 2.88, 7 Pd 2.88-3.06, 3 In 2.88-2.89
Tl1 0.5000 0.0000 0.5000  10 Pd 2.87-2.91, 2 In 3.06
Tl2 0.0000 0.5000 0.5000  10 Pd 2.87-2.91, 2 In 3.06
In1 0.5000 0.5000 0.0000  10 Pd 2.87-2.89, 2 Tl 3.06
In2 0.0000 0.0000 0.0000  10 Pd 2.87-2.89, 2 Tl 3.06

=====

Question: Which value of E_tot does entry 8 give?
Answer: -6.008 eV/atom